{
  "formula": "Li3V4O8",
  "functional": "PBE with a Hubbard U",
  "state": "relaxed",
  "space_group": "No. 166",
  "e_tot_ev_per_cell": -105.85,
  "lattice_angstrom": [[6.056, -0.038, -0.027], [3.179, 5.154, -0.027], [3.179, 1.761, 4.844]],
  "species": ["O", "O", "O", "O", "O", "O", "O", "O", "V", "V", "V", "V", "Li", "Li", "Li"],
  "frac_coords": [[0.233, 0.233, 0.233], [0.767, 0.767, 0.767], [0.239, 0.239, 0.772], [0.761, 0.228, 0.761], [0.772, 0.239, 0.239], [0.239, 0.772, 0.239], [0.761, 0.761, 0.228], [0.228, 0.761, 0.761], [0.000, 0.500, 0.000], [0.000, 0.000, 0.000], [0.000, 0.000, 0.500], [0.500, 0.000, 0.000], [0.500, 0.500, 0.500], [0.646, 0.646, 0.646], [0.354, 0.354, 0.354]]
}